Entry 1:
A plane-wave DFT calculation with PBE was carried out for RbBaMn2Tl after structural relaxation.

Cell and atoms, written as POSCAR:
```
RbBaMn2Tl
1.0
5.440 0.000 0.000
0.000 5.440 0.000
0.000 0.000 6.387
Rb Ba Mn Tl
1 1 2 1
direct
0.000 0.000 0.000 Rb
0.500 0.500 0.000 Ba
0.000 0.500 0.500 Mn
0.500 0.000 0.500 Mn
0.000 0.000 0.500 Tl
```

---

Entry 2:
A plane-wave DFT calculation with PBE was carried out for RbBa2ZrMn after structural relaxation.

Cell and atoms, written as POSCAR:
```
RbBa2ZrMn
1.0
6.178 0.000 0.000
0.000 6.178 0.000
0.000 0.000 5.332
Rb Ba Zr Mn
1 2 1 1
direct
0.000 0.000 0.000 Rb
0.000 0.500 0.000 Ba
0.500 0.000 0.000 Ba
0.000 0.000 0.500 Zr
0.500 0.500 0.500 Mn
```

---

Entry 3:
A plane-wave DFT calculation with PBE was carried out for BaMn2Re after structural relaxation.

Cell and atoms, written as POSCAR:
```
BaMn2Re
1.0
0.000 3.380 3.380
3.380 0.000 3.380
3.380 3.380 0.000
Ba Mn Re
1 2 1
direct
0.000 0.000 0.000 Ba
0.250 0.250 0.250 Mn
0.500 0.500 0.500 Mn
0.750 0.750 0.750 Re
```

---

Entry 4:
A plane-wave DFT calculation with PBE was carried out for Ba3MnRe after structural relaxation.

Cell and atoms, written as POSCAR:
```
Ba3MnRe
1.0
5.969 0.000 0.000
0.000 5.969 0.000
0.000 0.000 5.969
Ba Mn Re
3 1 1
direct
0.000 0.000 0.500 Ba
0.000 0.500 0.000 Ba
0.500 0.000 0.000 Ba
0.500 0.500 0.500 Mn
0.000 0.000 0.000 Re
```

---

Entry 5:
A plane-wave DFT calculation with PBE was carried out for BaMn2Re after structural relaxation.

Cell and atoms, written as POSCAR:
```
BaMn2Re
1.0
-2.441 2.441 7.943
2.441 -2.441 7.943
2.441 2.441 -7.943
Ba Mn Re
2 4 2
direct
0.375 0.625 0.750 Ba
0.625 0.375 0.250 Ba
0.000 0.000 0.000 Mn
0.000 0.000 0.500 Mn
0.000 0.500 0.000 Mn
0.500 0.000 0.500 Mn
0.125 0.875 0.250 Re
0.875 0.125 0.750 Re
```

---

Entry 6:
A plane-wave DFT calculation with PBE was carried out for BaMnRe after structural relaxation.

Cell and atoms, written as POSCAR:
```
BaMnRe
1.0
0.000 3.366 3.366
3.366 0.000 3.366
3.366 3.366 0.000
Ba Mn Re
1 1 1
direct
0.000 0.000 0.000 Ba
0.500 0.500 0.500 Mn
0.750 0.750 0.750 Re
```

---

Entry 7:
A plane-wave DFT calculation with PBE was carried out for BaMnRe after structural relaxation.

Cell and atoms, written as POSCAR:
```
BaMnRe
1.0
3.968 0.000 0.000
-1.984 3.437 0.000
0.000 0.000 5.425
Ba Mn Re
1 1 1
direct
0.000 0.000 0.000 Ba
0.667 0.333 0.524 Mn
0.333 0.667 0.482 Re
```

---

Entry 8:
A plane-wave DFT calculation with PBE was carried out for BaMn2Re after structural relaxation.

Cell and atoms, written as POSCAR:
```
BaMn2Re
1.0
1.532 0.884 9.914
-1.532 0.884 9.914
0.000 -1.769 9.914
Ba Mn Re
1 2 1
direct
0.000 0.000 0.000 Ba
0.232 0.232 0.232 Mn
0.768 0.768 0.768 Mn
0.500 0.500 0.500 Re
```

---

Entry 9:
A plane-wave DFT calculation with PBE was carried out for BaMn2Re after structural relaxation.

Cell and atoms, written as POSCAR:
```
BaMn2Re
1.0
4.957 0.000 0.000
0.000 4.957 0.000
0.000 0.000 3.001
Ba Mn Re
1 2 1
direct
0.000 0.000 0.000 Ba
0.000 0.500 0.500 Mn
0.500 0.000 0.500 Mn
0.500 0.500 0.000 Re
```

---

Entry 10:
A plane-wave DFT calculation with PBE was carried out for BaMn2Re after structural relaxation.

Cell and atoms, written as POSCAR:
```
BaMn2Re
1.0
3.209 0.000 0.000
0.000 4.285 0.000
-1.579 0.000 6.513
Ba Mn Re
1 2 1
direct
0.000 0.000 0.000 Ba
0.651 0.500 0.306 Mn
0.753 0.000 0.518 Mn
0.275 0.500 0.557 Re
```

---

Entry 11:
A plane-wave DFT calculation with PBE was carried out for BaMn4Re after structural relaxation.

Cell and atoms, written as POSCAR:
```
BaMn4Re
1.0
0.000 3.613 3.613
3.613 0.000 3.613
3.613 3.613 0.000
Ba Mn Re
1 4 1
direct
0.000 0.000 0.000 Ba
0.130 0.623 0.623 Mn
0.623 0.130 0.623 Mn
0.623 0.623 0.130 Mn
0.623 0.623 0.623 Mn
0.250 0.250 0.250 Re
```

---

Entry 12:
A plane-wave DFT calculation with PBE was carried out for BaMn2Re after structural relaxation.

Cell and atoms, written as POSCAR:
```
BaMn2Re
1.0
3.100 0.000 0.000
0.000 3.100 0.000
0.000 0.000 8.162
Ba Mn Re
1 2 1
direct
0.000 0.000 0.000 Ba
0.000 0.000 0.532 Mn
0.500 0.500 0.347 Mn
0.500 0.500 0.677 Re
```

---

| no. | formation energy (eV/f.u.) | density (g/cm³) | E_tot (eV/atom) |
| --- | --- | --- | --- |
| 1 | 4.06 | 4.718 | -3.91 |
| 2 | 10.77 | 4.132 | -2.35 |
| 3 | 5.41 | 9.322 | -6.83 |
| 4 | 5.23 | 5.099 | -4.43 |
| 5 | 4.63 | 7.601 | -7.02 |
| 6 | 4.51 | 8.238 | -6.34 |
| 7 | 2.31 | 8.495 | -7.08 |
| 8 | 3.90 | 8.929 | -7.20 |
| 9 | 4.84 | 9.759 | -6.97 |
| 10 | 3.20 | 8.037 | -7.38 |
| 11 | 5.77 | 9.563 | -7.55 |
| 12 | 2.71 | 9.176 | -7.50 |